VASP calculation (PBE) on an optimized crystal structure of PuAlIn2.

For the formation energy from the elements, the calculation gives -0.18 eV per atom.

The structure belongs to space group P4/mmm (No. 123); the cell edges are 4.502, 4.502 and 4.614 Å and the angles 90.00°, 90.00° and 90.00°. Symmetry generates all atoms from Pu at (0.000, 0.000, 0.000), Al at (0.500, 0.500, 0.000) and In at (0.000, 0.500, 0.500).



VASP calculation (PBE) on an optimized crystal structure of NaGe6.

For the formation energy from the elements, the calculation gives 0.08 eV per atom.

The structure belongs to space group Im-3m (No. 229); the cell edges are 7.119, 7.119 and 7.119 Å and the angles 90.00°, 90.00° and 90.00°. Symmetry generates all atoms from Na at (0.000, 0.000, 0.000) and Ge at (0.000, 0.250, 0.500).



VASP calculation (PBE) on an optimized crystal structure of Nd2Co15Cu2.

For the formation energy from the elements, the calculation gives -0.02 eV per atom.

The structure belongs to space group R-3m (No. 166, hexagonal axes); the cell edges are 8.4421, 8.4421 and 12.1245 Å and the angles 90.00°, 90.00° and 120.00°. Symmetry generates all atoms from Nd at (0.0000, 0.0000, 0.1563), Co at (0.0000, 0.2850, 0.5000), Co at (0.0000, 0.5000, 0.0000), Co at (0.0015, 0.5008, 0.3460) and Cu at (0.0000, 0.0000, 0.3999).



VASP calculation (PBE) on an optimized crystal structure of LaCdIrO6.

As for the uncorrected formation energy: -1392 meV/atom.

The structure belongs to space group P-31c (No. 163); the cell edges are 5.7860, 5.7860 and 8.7407 Å and the angles 90.00°, 90.00° and 120.00°. Symmetry generates all atoms from La at (0.3333, 0.6667, 0.2500), Cd at (0.0000, 0.0000, 0.0000), Ir at (0.3333, 0.6667, 0.7500) and O at (0.0588, 0.3872, 0.6270).



Magnetic moment list, top to bottom, in μB per atom: 1.41 0.00 1.14 0.19